No. 1
# GGA-PBE Sc2TiNi4, relaxed
data_Sc2TiNi4
_cell_length_a 4.2496
_cell_length_b 4.2496
_cell_length_c 19.4984
_cell_angle_alpha 90.00
_cell_angle_beta 90.00
_cell_angle_gamma 120.00
_symmetry_space_group_name_H-M 'R -3 m'
_symmetry_Int_Tables_number 166
_symmetry_space_group_name_Hall '-R 3 2"'
loop_
_atom_site_label
_atom_site_type_symbol
_atom_site_fract_x
_atom_site_fract_y
_atom_site_fract_z
Sc1 Sc 0.0000 0.0000 0.0714
Ti1 Ti 0.0000 0.0000 0.5000
Ni1 Ni 0.0000 0.0000 0.2029
Ni2 Ni 0.0000 0.0000 0.3524
# Raw total energy (eV/atom): -6.59
# Mass density (Mg/m³): 6.084

---

No. 2
# GGA-PBE CaCd2Ag, relaxed
data_CaCd2Ag
_cell_length_a 4.3950
_cell_length_b 4.3950
_cell_length_c 21.5769
_cell_angle_alpha 90.00
_cell_angle_beta 90.00
_cell_angle_gamma 90.00
_symmetry_space_group_name_H-M 'I -4 2 d'
_symmetry_Int_Tables_number 122
_symmetry_space_group_name_Hall 'I -4 2bw'
loop_
_atom_site_label
_atom_site_type_symbol
_atom_site_fract_x
_atom_site_fract_y
_atom_site_fract_z
Ca1 Ca 0.0000 0.0000 0.0000
Cd1 Cd 0.2208 0.2500 0.6250
Ag1 Ag 0.0000 0.0000 0.5000
# Raw total energy (eV/atom): -1.74
# Mass density (Mg/m³): 5.941

---

No. 3
# GGA-PBE CoHPt2Rh, relaxed
data_CoHPt2Rh
_cell_length_a 3.9213
_cell_length_b 3.9213
_cell_length_c 3.8969
_cell_angle_alpha 90.00
_cell_angle_beta 90.00
_cell_angle_gamma 90.00
_symmetry_space_group_name_H-M 'P 4/m m m'
_symmetry_Int_Tables_number 123
_symmetry_space_group_name_Hall '-P 4 2'
loop_
_atom_site_label
_atom_site_type_symbol
_atom_site_fract_x
_atom_site_fract_y
_atom_site_fract_z
Co1 Co 0.0000 0.0000 0.0000
H1 H 0.0000 0.0000 0.5000
Pt1 Pt 0.0000 0.5000 0.5000
Rh1 Rh 0.5000 0.5000 0.0000
# Raw total energy (eV/atom): -5.89
# Energy relative to the lowest polymorph listed for this composition (eV/atom): 0.013
# Mass density (Mg/m³): 15.325

---

No. 4
# GGA-PBE KHgBi2, relaxed
data_KHgBi2
_cell_length_a 4.6974
_cell_length_b 4.6974
_cell_length_c 6.0598
_cell_angle_alpha 90.00
_cell_angle_beta 90.00
_cell_angle_gamma 90.00
_symmetry_space_group_name_H-M 'P 4/m m m'
_symmetry_Int_Tables_number 123
_symmetry_space_group_name_Hall '-P 4 2'
loop_
_atom_site_label
_atom_site_type_symbol
_atom_site_fract_x
_atom_site_fract_y
_atom_site_fract_z
K1 K 0.0000 0.0000 0.0000
Hg1 Hg 0.5000 0.5000 0.0000
Bi1 Bi 0.0000 0.5000 0.5000
# Raw total energy (eV/atom): -2.42
# Mass density (Mg/m³): 8.167

---

No. 5
# GGA-PBE LiHN, relaxed
data_LiHN
_cell_length_a 5.3197
_cell_length_b 4.6416
_cell_length_c 4.1567
_cell_angle_alpha 90.00
_cell_angle_beta 110.29
_cell_angle_gamma 90.00
_symmetry_space_group_name_H-M 'C 1 2 1'
_symmetry_Int_Tables_number 5
_symmetry_space_group_name_Hall 'C 2y'
loop_
_atom_site_label
_atom_site_type_symbol
_atom_site_fract_x
_atom_site_fract_y
_atom_site_fract_z
Li1 Li 0.2143 0.0000 0.1953
H1 H 0.2434 0.9346 0.6566
N1 N 0.1164 0.1007 0.6692
# Raw total energy (eV/atom): -4.73
# Energy relative to the lowest polymorph listed for this composition (eV/atom): 0.074
# Mass density (Mg/m³): 1.515

---

No. 6
# GGA-PBE ThMgScHg, relaxed
data_ThMgScHg
_cell_length_a 7.4248
_cell_length_b 7.4248
_cell_length_c 7.4248
_cell_angle_alpha 90.00
_cell_angle_beta 90.00
_cell_angle_gamma 90.00
_symmetry_space_group_name_H-M 'F -4 3 m'
_symmetry_Int_Tables_number 216
_symmetry_space_group_name_Hall 'F -4 2 3'
loop_
_atom_site_label
_atom_site_type_symbol
_atom_site_fract_x
_atom_site_fract_y
_atom_site_fract_z
Th1 Th 0.0000 0.0000 0.0000
Mg1 Mg 0.2500 0.2500 0.2500
Sc1 Sc 0.0000 0.0000 0.5000
Hg1 Hg 0.2500 0.2500 0.7500
# Raw total energy (eV/atom): -4.01
# Mass density (Mg/m³): 8.144